No. 1
An optimized crystal structure of MgAlTlPd. Source: OQMD via LeMat-Bulk, functional PBE-GGA.

Geometry as POSCAR:
```
MgAlTlPd
1.0
2.556 -1.909 -3.498
1.674 -4.409 0.425
-1.823 -3.488 -2.632
Al Tl Pd Mg
1 1 1 1
Cartesian
0.602 -2.451 -1.426 Al
1.204 -4.903 -2.853 Tl
0.000 0.000 0.000 Pd
1.805 -7.354 -4.279 Mg
```

Output
The value obtained for the volume is 75.1 Å³/cell. The mass density comes out at 8.011 g/cm3. The energy comes out at -3.3670 eV per atom.

No. 2
An optimized crystal structure of Tm3Mg3AlPd2. Source: OQMD via LeMat-Bulk, functional PBE-GGA.

Geometry as POSCAR:
```
Tm3Mg3AlPd2
1.0
-6.607 -2.912 0.550
4.477 -2.150 -5.269
1.564 -3.062 2.579
Tm Pd Al Mg
3 2 1 3
Cartesian
-3.802 -1.676 0.316 Tm
-0.904 -2.149 -2.003 Tm
2.577 -1.237 -3.032 Tm
1.565 -3.935 -2.040 Pd
-2.130 -4.189 -0.100 Pd
0.000 0.000 0.000 Al
-0.857 -2.254 1.426 Mg
1.893 -2.065 -0.018 Mg
-0.819 -5.337 -2.259 Mg
```

Output
The value obtained for the volume is 195.2 Å³/cell. The mass density comes out at 6.973 g/cm3. The energy comes out at -4.0887 eV per atom.

No. 3
An optimized crystal structure of Y3Mg3AlPd2. Source: OQMD via LeMat-Bulk, functional PBE-GGA.

Geometry as POSCAR:
```
Y3Mg3AlPd2
1.0
-4.138 -6.246 0.131
7.209 -0.323 -2.022
1.078 -0.632 3.944
Pd Mg Y Al
2 3 3 1
Cartesian
3.427 -2.297 -1.304 Pd
-0.356 -4.272 -0.587 Pd
1.819 -0.081 -0.510 Mg
-1.044 -1.576 0.033 Mg
2.296 -4.911 -1.414 Mg
4.737 -0.504 0.794 Y
1.821 -3.059 1.182 Y
-1.871 -3.954 2.048 Y
0.539 -0.316 1.972 Al
```

Output
The value obtained for the volume is 201.2 Å³/cell. The mass density comes out at 4.782 g/cm3. The energy comes out at -4.7598 eV per atom.

No. 4
An optimized crystal structure of PrMgAlPt. Source: OQMD via LeMat-Bulk, functional PBE-GGA.

Geometry as POSCAR:
```
PrMgAlPt
1.0
8.219 -2.261 0.000
8.219 2.261 0.000
-1.450 0.000 4.817
Mg Al Pr Pt
2 2 2 2
Cartesian
4.559 0.000 3.954 Mg
13.261 0.000 1.791 Mg
-0.542 0.000 2.914 Al
7.686 0.000 1.421 Al
2.160 0.000 1.011 Pr
10.329 0.000 3.570 Pr
7.399 0.000 3.970 Pt
15.459 0.000 0.236 Pt
```

Output
The value obtained for the volume is 179.0 Å³/cell. The mass density comes out at 7.186 g/cm3. The energy comes out at -4.6182 eV per atom.

No. 5
An optimized crystal structure of MgSc2AlPt4. Source: OQMD via LeMat-Bulk, functional PBE-GGA.

Geometry as POSCAR:
```
MgSc2AlPt4
1.0
4.542 0.000 0.000
0.000 4.542 0.000
0.000 0.000 6.444
Al Mg Sc Pt
1 1 2 4
Cartesian
0.000 0.000 3.222 Al
2.271 2.271 0.000 Mg
2.271 2.271 3.222 Sc
0.000 0.000 0.000 Sc
2.271 0.000 4.785 Pt
0.000 2.271 1.658 Pt
2.271 0.000 1.658 Pt
0.000 2.271 4.785 Pt
```

Output
The value obtained for the volume is 132.9 Å³/cell. The mass density comes out at 11.512 g/cm3. The energy comes out at -6.3734 eV per atom.

No. 6
An optimized crystal structure of Sm3Mg3Al2Pt. Source: OQMD via LeMat-Bulk, functional PBE-GGA.

Geometry as POSCAR:
```
Sm3Mg3Al2Pt
1.0
-4.757 0.422 5.782
-1.862 -3.931 -6.109
1.839 -3.635 1.778
Al Sm Mg Pt
2 3 3 1
Cartesian
-1.908 -4.297 -1.256 Al
-2.873 -2.846 2.707 Al
-2.686 -1.424 -0.133 Sm
-1.107 -2.336 -3.630 Sm
-2.827 0.251 3.436 Sm
-4.141 -4.500 0.639 Mg
-0.201 -1.718 2.250 Mg
0.481 -2.743 -0.549 Mg
0.000 0.000 0.000 Pt
```

Output
The value obtained for the volume is 216.5 Å³/cell. The mass density comes out at 5.930 g/cm3. The energy comes out at -4.1025 eV per atom.

No. 7
An optimized crystal structure of Sm3Mg3AlPt2. Source: OQMD via LeMat-Bulk, functional PBE-GGA.

Geometry as POSCAR:
```
Sm3Mg3AlPt2
1.0
7.536 0.000 0.000
-3.768 6.527 0.000
0.000 0.000 4.206
Sm Al Mg Pt
3 1 3 2
Cartesian
4.365 0.000 0.000 Sm
-2.182 3.780 0.000 Sm
1.586 2.747 0.000 Sm
0.000 0.000 0.000 Al
2.821 4.886 2.103 Mg
-0.947 1.641 2.103 Mg
1.894 0.000 2.103 Mg
3.768 2.176 2.103 Pt
0.000 4.351 2.103 Pt
```

Output
The value obtained for the volume is 206.9 Å³/cell. The mass density comes out at 7.554 g/cm3. The energy comes out at -4.5232 eV per atom.

No. 8
An optimized crystal structure of SrMg4AlPt2. Source: OQMD via LeMat-Bulk, functional PBE-GGA.

Geometry as POSCAR:
```
SrMg4AlPt2
1.0
8.037 0.000 0.000
0.000 2.178 4.975
0.000 -2.178 4.975
Al Mg Pt Sr
1 4 2 1
Cartesian
4.018 0.000 0.496 Al
5.494 0.000 3.394 Mg
6.362 0.000 6.485 Mg
1.675 0.000 6.485 Mg
2.543 0.000 3.394 Mg
4.018 0.000 7.842 Pt
0.000 0.000 2.324 Pt
0.000 0.000 9.382 Sr
```

Output
The value obtained for the volume is 174.2 Å³/cell. The mass density comes out at 5.738 g/cm3. The energy comes out at -3.4449 eV per atom.

No. 9
An optimized crystal structure of MgAlTlPt. Source: OQMD via LeMat-Bulk, functional PBE-GGA.

Geometry as POSCAR:
```
MgAlTlPt
1.0
0.000 3.337 3.337
3.337 0.000 3.337
3.337 3.337 0.000
Pt Tl Mg Al
1 1 1 1
Cartesian
3.337 3.337 3.337 Pt
0.000 0.000 0.000 Tl
5.006 5.006 5.006 Mg
1.669 1.669 1.669 Al
```

Output
The value obtained for the volume is 74.3 Å³/cell. The mass density comes out at 10.068 g/cm3. The energy comes out at -3.6392 eV per atom.

No. 10
An optimized crystal structure of Tm3Mg3Al2Pt. Source: OQMD via LeMat-Bulk, functional PBE-GGA.

Geometry as POSCAR:
```
Tm3Mg3Al2Pt
1.0
7.302 0.000 0.000
-3.651 6.324 0.000
0.000 0.000 4.352
Tm Mg Al Pt
3 3 2 1
Cartesian
-2.168 3.755 0.000 Tm
1.483 2.569 0.000 Tm
4.336 0.000 0.000 Tm
1.737 0.000 2.176 Mg
2.782 4.819 2.176 Mg
-0.869 1.505 2.176 Mg
0.000 4.216 2.176 Al
3.651 2.108 2.176 Al
0.000 0.000 0.000 Pt
```

Output
The value obtained for the volume is 201.0 Å³/cell. The mass density comes out at 6.848 g/cm3. The energy comes out at -4.0236 eV per atom.